Density functional theory data (PBE-GGA) for a relaxed PmThSnRh crystal.

Summary:
ΔE_f   -1.93 eV/f.u.
E_tot   -6.36 eV/atom
DOS at the Fermi energy   3.87 states/eV/f.u.
Magnetization   0.000 μB/cell

Cell: 7.4477 7.4477 7.4477 Å, 90.00 90.00 90.00°
Last column: nearest neighbours and their distance in Å.
Space group F-43m (No. 216)
Unique sites:
Pm1 0.0000 0.0000 0.0000 (multiplicity 4)  4 Sn 3.22, 4 Rh 3.22
Th1 0.0000 0.0000 0.5000 (multiplicity 4)  4 Sn 3.22, 4 Rh 3.22
Sn1 0.2500 0.2500 0.7500 (multiplicity 4)  4 Pm 3.22, 4 Th 3.22
Rh1 0.2500 0.2500 0.2500 (multiplicity 4)  4 Th 3.22, 4 Pm 3.22